(1)
# PuTh2Si6 PBE relaxed
# Energy relative to the elements, uncorrected, eV per atom: -0.5647
data_PuTh2Si6
_chemical_formula_sum 'Pu1 Th2 Si6'
_cell_length_a 7.0925
_cell_length_b 7.0925
_cell_length_c 4.1122
_cell_angle_alpha 90.00
_cell_angle_beta 90.00
_cell_angle_gamma 120.00
_space_group_name_H-M_alt 'P 6/m m m'
_space_group_IT_number 191
_space_group_name_Hall '-P 6 2'
loop_
_atom_site_label
_atom_site_type_symbol
_atom_site_fract_x
_atom_site_fract_y
_atom_site_fract_z
_atom_site_occupancy
Pu1 Pu 0.0000 0.0000 0.0000 1
Th1 Th 0.3333 0.6667 0.0000 1
Si1 Si 0.0000 0.3310 0.5000 1

---

(2)
# Y2Cl PBE relaxed
# Energy relative to the elements, uncorrected, eV per atom: -0.9240
# E above lowest polymorph, kJ/mol of formula units: 0
data_Y2Cl
_chemical_formula_sum 'Y2 Cl1'
_cell_length_a 3.6991
_cell_length_b 3.6991
_cell_length_c 6.9287
_cell_angle_alpha 90.00
_cell_angle_beta 90.00
_cell_angle_gamma 120.00
_space_group_name_H-M_alt 'P -3 m 1'
_space_group_IT_number 164
_space_group_name_Hall '-P 3 2"'
loop_
_atom_site_label
_atom_site_type_symbol
_atom_site_fract_x
_atom_site_fract_y
_atom_site_fract_z
_atom_site_occupancy
Y1 Y 0.3333 0.6667 0.1918 1
Cl1 Cl 0.0000 0.0000 0.5000 1

---

(3)
# Cu5AuCl12 PBE relaxed
# Energy relative to the elements, uncorrected, eV per atom: -0.4065
data_Cu5AuCl12
_chemical_formula_sum 'Cu5 Au1 Cl12'
_cell_length_a 3.9144
_cell_length_b 8.8900
_cell_length_c 13.0446
_cell_angle_alpha 101.88
_cell_angle_beta 91.08
_cell_angle_gamma 101.77
_space_group_name_H-M_alt 'P -1'
_space_group_IT_number 2
loop_
_space_group_symop_operation_xyz
'x,y,z'
'-x,-y,-z'
loop_
_atom_site_label
_atom_site_type_symbol
_atom_site_fract_x
_atom_site_fract_y
_atom_site_fract_z
_atom_site_occupancy
Cu1 Cu 0.0000 0.0000 0.0000 1
Cu2 Cu 0.1618 0.3494 0.4890 1
Cu3 Cu 0.3331 0.6665 0.9997 1
Au1 Au 0.5000 0.0000 0.5000 1
Cl1 Cl 0.0269 0.2419 0.1090 1
Cl2 Cl 0.1241 0.9065 0.6235 1
Cl3 Cl 0.2277 0.7580 0.3903 1
Cl4 Cl 0.3067 0.4246 0.8915 1
Cl5 Cl 0.3591 0.9082 0.1082 1
Cl6 Cl 0.3998 0.5713 0.6149 1

---

(4)
# Y2TlO2 PBE relaxed
# Energy relative to the elements, uncorrected, eV per atom: -2.4249
data_Y2TlO2
_chemical_formula_sum 'Y4 Tl2 O4'
_cell_length_a 3.8768
_cell_length_b 3.8768
_cell_length_c 14.1251
_cell_angle_alpha 90.00
_cell_angle_beta 90.00
_cell_angle_gamma 90.00
_space_group_name_H-M_alt 'I 4/m m m'
_space_group_IT_number 139
_space_group_name_Hall '-I 4 2'
loop_
_atom_site_label
_atom_site_type_symbol
_atom_site_fract_x
_atom_site_fract_y
_atom_site_fract_z
_atom_site_occupancy
Y1 Y 0.0000 0.0000 0.1710 1
Tl1 Tl 0.0000 0.0000 0.5000 1
O1 O 0.0000 0.5000 0.2500 1

---

(5)
# AcPuGaSi PBE relaxed
# Energy relative to the elements, uncorrected, eV per atom: -0.2455
data_AcPuGaSi
_chemical_formula_sum 'Ac4 Pu4 Ga4 Si4'
_cell_length_a 7.4355
_cell_length_b 7.4355
_cell_length_c 7.4355
_cell_angle_alpha 90.00
_cell_angle_beta 90.00
_cell_angle_gamma 90.00
_space_group_name_H-M_alt 'F -4 3 m'
_space_group_IT_number 216
_space_group_name_Hall 'F -4 2 3'
loop_
_atom_site_label
_atom_site_type_symbol
_atom_site_fract_x
_atom_site_fract_y
_atom_site_fract_z
_atom_site_occupancy
Ac1 Ac 0.0000 0.0000 0.0000 1
Pu1 Pu 0.0000 0.0000 0.5000 1
Ga1 Ga 0.2500 0.2500 0.2500 1
Si1 Si 0.2500 0.2500 0.7500 1

---

(6)
# CuRh3Cl PBE relaxed
# Energy relative to the elements, uncorrected, eV per atom: 1.3806
# E above lowest polymorph, kJ/mol of formula units: 253
data_CuRh3Cl
_chemical_formula_sum 'Cu1 Rh3 Cl1'
_cell_length_a 4.6214
_cell_length_b 4.6214
_cell_length_c 4.6214
_cell_angle_alpha 90.00
_cell_angle_beta 90.00
_cell_angle_gamma 90.00
_space_group_name_H-M_alt 'P m -3 m'
_space_group_IT_number 221
_space_group_name_Hall '-P 4 2 3'
loop_
_atom_site_label
_atom_site_type_symbol
_atom_site_fract_x
_atom_site_fract_y
_atom_site_fract_z
_atom_site_occupancy
Cu1 Cu 0.0000 0.0000 0.0000 1
Rh1 Rh 0.0000 0.0000 0.5000 1
Cl1 Cl 0.5000 0.5000 0.5000 1

---

(7)
# BeNiP PBE relaxed
# Energy of formation, eV/atom: -0.09
# E above lowest polymorph, kJ/mol of formula units: 90
data_BeNiP
_chemical_formula_sum 'Be1 Ni1 P1'
_cell_length_a 3.8119
_cell_length_b 3.8119
_cell_length_c 3.0693
_cell_angle_alpha 90.00
_cell_angle_beta 90.00
_cell_angle_gamma 120.00
_space_group_name_H-M_alt 'P 3 m 1'
_space_group_IT_number 156
loop_
_space_group_symop_operation_xyz
'x,y,z'
'-y,x-y,z'
'-x+y,-x,z'
'-y,-x,z'
'-x+y,y,z'
'x,x-y,z'
loop_
_atom_site_label
_atom_site_type_symbol
_atom_site_fract_x
_atom_site_fract_y
_atom_site_fract_z
_atom_site_occupancy
Be1 Be 0.0000 0.0000 0.0000 1
Ni1 Ni 0.6667 0.3333 0.9942 1
P1 P 0.3333 0.6667 0.9935 1

---

(8)
# Pr2PdRh2 PBE relaxed
# Energy of formation, eV/atom: -0.66
data_Pr2PdRh2
_chemical_formula_sum 'Pr4 Pd2 Rh4'
_cell_length_a 4.5709
_cell_length_b 5.7170
_cell_length_c 8.3127
_cell_angle_alpha 90.00
_cell_angle_beta 90.00
_cell_angle_gamma 90.00
_space_group_name_H-M_alt 'I m m m'
_space_group_IT_number 71
_space_group_name_Hall '-I 2 2'
loop_
_atom_site_label
_atom_site_type_symbol
_atom_site_fract_x
_atom_site_fract_y
_atom_site_fract_z
_atom_site_occupancy
Pr1 Pr 0.0000 0.0000 0.2037 1
Pd1 Pd 0.0000 0.5000 0.0000 1
Rh1 Rh 0.0000 0.2630 0.5000 1

---

(9)
# AcHfAs PBE relaxed
# Energy of formation, eV/atom: -0.42
data_AcHfAs
_chemical_formula_sum 'Ac4 Hf4 As4'
_cell_length_a 7.5849
_cell_length_b 7.5849
_cell_length_c 6.0868
_cell_angle_alpha 90.00
_cell_angle_beta 90.00
_cell_angle_gamma 90.00
_space_group_name_H-M_alt 'P 42/m m c'
_space_group_IT_number 131
_space_group_name_Hall '-P 4c 2'
loop_
_atom_site_label
_atom_site_type_symbol
_atom_site_fract_x
_atom_site_fract_y
_atom_site_fract_z
_atom_site_occupancy
Ac1 Ac 0.0000 0.2714 0.0000 1
Hf1 Hf 0.3047 0.5000 0.5000 1
As1 As 0.0000 0.2916 0.5000 1

---

(10)
# Cs2KSeO PBE relaxed
# Energy relative to the elements, uncorrected, eV per atom: -0.9069
data_Cs2KSeO
_chemical_formula_sum 'Cs2 K1 Se1 O1'
_cell_length_a 5.7021
_cell_length_b 5.7021
_cell_length_c 5.3994
_cell_angle_alpha 90.00
_cell_angle_beta 90.00
_cell_angle_gamma 90.00
_space_group_name_H-M_alt 'P 4/m m m'
_space_group_IT_number 123
_space_group_name_Hall '-P 4 2'
loop_
_atom_site_label
_atom_site_type_symbol
_atom_site_fract_x
_atom_site_fract_y
_atom_site_fract_z
_atom_site_occupancy
Cs1 Cs 0.0000 0.5000 0.0000 1
K1 K 0.0000 0.0000 0.5000 1
Se1 Se 0.5000 0.5000 0.5000 1
O1 O 0.0000 0.0000 0.0000 1

---

(11)
# ZnNiI4 PBE relaxed
# Energy relative to the elements, uncorrected, eV per atom: -0.2057
data_ZnNiI4
_chemical_formula_sum 'Zn2 Ni2 I8'
_cell_length_a 7.6872
_cell_length_b 7.6872
_cell_length_c 9.9261
_cell_angle_alpha 90.00
_cell_angle_beta 90.00
_cell_angle_gamma 90.00
_space_group_name_H-M_alt 'P 42/m m c'
_space_group_IT_number 131
_space_group_name_Hall '-P 4c 2'
loop_
_atom_site_label
_atom_site_type_symbol
_atom_site_fract_x
_atom_site_fract_y
_atom_site_fract_z
_atom_site_occupancy
Zn1 Zn 0.0000 0.5000 0.0000 1
Ni1 Ni 0.0000 0.0000 0.0000 1
I1 I 0.2302 0.2331 0.0000 1